Entry from Alexandria via LeMat-Bulk: a relaxed PuCoBC crystal (PBE-GGA).

a = 3.5525 Å, b = 3.5525 Å, c = 7.4002 Å
α = 90.00°, β = 90.00°, γ = 90.00°
Closest atoms and distances in Å follow each position.
Space group P4/nmm (No. 129, origin choice 2)
Symmetry-distinct sites (fractional):
Pu: 0.2500 0.2500 0.1747 [2 per cell]  5 C 2.33-2.52
Co: 0.2500 0.7500 0.5000 [2 per cell]  4 B 2.08
B: 0.2500 0.2500 0.6475 [2 per cell]  1 C 1.57
C: 0.2500 0.2500 0.8592 [2 per cell]  1 B 1.57

Values from the calculation:
- final energy (hartree per atom) = -0.3544
- energy of formation from the pure elements (eV per atom) = -0.31